An optimized crystal structure of SmHo6Er3Sc2, computed with PBE.

Output
DFT formation energy ... 0.037 eV/atom

Cell lengths 6.035, 6.035, 11.553 Å; angles 94.98, 94.98, 119.94 degrees
Fractional coordinates of all 12 atoms:
1 Sm 0.000 0.000 0.000
2 Ho 0.083 0.419 0.247
3 Ho 0.253 0.253 0.753
4 Ho 0.419 0.083 0.247
5 Ho 0.581 0.917 0.753
6 Ho 0.747 0.747 0.247
7 Ho 0.917 0.581 0.753
8 Er 0.167 0.833 0.500
9 Er 0.500 0.500 0.500
10 Er 0.833 0.167 0.500
11 Sc 0.333 0.667 0.000
12 Sc 0.667 0.333 0.000



An optimized crystal structure of AcPuZnIn, computed with PBE.

Output
DFT formation energy ... -0.140 eV/atom

Cell lengths 5.488, 5.488, 5.488 Å; angles 60.00, 60.00, 60.00 degrees
Fractional coordinates of all 4 atoms:
1 Ac 0.000 0.000 0.000
2 Pu 0.500 0.500 0.500
3 Zn 0.750 0.750 0.750
4 In 0.250 0.250 0.250



An optimized crystal structure of ThClF3, computed with PBE.

Output
E_form (uncorrected) ... -3.60 eV/atom

Cell lengths 6.352, 6.352, 6.784 Å; angles 122.26, 122.26, 69.27 degrees
Fractional coordinates of all 10 atoms:
1 Th 0.231 0.231 0.356
2 Th 0.769 0.769 0.644
3 Cl 0.432 0.432 0.201
4 Cl 0.568 0.568 0.799
5 F 0.033 0.411 0.639
6 F 0.057 0.057 0.890
7 F 0.411 0.033 0.639
8 F 0.589 0.967 0.361
9 F 0.943 0.943 0.110
10 F 0.967 0.589 0.361